(1)
Er5Sb2H | PBE-GGA | relaxed

Calculated values
Total magnetization   0.00 μB per formula unit
Energy   -0.351 Ry/atom
Volume   25.4 Å³ per atom

abc: 9.6749 9.6910 8.6766
angles: 90.00 90.00 90.00
With the nearest neighbours (Å) after each atom.
Space group Fmm2 (No. 42)
Symmetry-distinct sites (fractional):
Er  0.0000  0.0000  0.0000  1 H 2.22
Er  0.0000  0.2502  0.2456  1 H 2.43
Er  0.2500  0.0000  0.2454  1 H 2.42
Sb  0.2500  0.2500  0.4952  10 Er 3.25-3.42
H  0.0000  0.0000  0.2562  5 Er 2.22-2.43

(2)
BaZrP | PBE-GGA | relaxed

Calculated values
Energy of formation from the pure elements   94.8 kJ per mole of atoms
Total magnetization   3.00 μB per formula unit
Energy relative to the lowest polymorph listed for this composition   1865 meV per atom
Volume   32.5 Å³ per atom

abc: 7.3035 7.3035 7.3035
angles: 90.00 90.00 90.00
With the nearest neighbours (Å) after each atom.
Space group F-43m (No. 216)
Symmetry-distinct sites (fractional):
Ba  0.0000  0.0000  0.0000  4 P 3.16, 4 Zr 3.16
Zr  0.2500  0.2500  0.7500  4 Ba 3.16
P  0.2500  0.2500  0.2500  4 Ba 3.16

(3)
TaAgO3 | PBE-GGA | relaxed

Calculated values
Total magnetization   0.00 μB per formula unit
Energy   -0.580 Ry/atom
Volume   12.8 Å³ per atom

abc: 3.9987 3.9987 3.9987
angles: 90.00 90.00 90.00
With the nearest neighbours (Å) after each atom.
Space group Pm-3m (No. 221)
Symmetry-distinct sites (fractional):
Ta  0.0000  0.0000  0.0000  6 O 2.00
Ag  0.5000  0.5000  0.5000  12 O 2.83
O  0.0000  0.0000  0.5000  2 Ta 2.00

(4)
CaBeOs | PBE-GGA | relaxed

Calculated values
Energy of formation from the pure elements   33.4 kJ per mole of atoms
Total magnetization   0.00 μB per formula unit
Energy relative to the lowest polymorph listed for this composition   300 meV per atom
Volume   18.0 Å³ per atom

abc: 3.9132 3.9132 4.0680
angles: 90.00 90.00 120.00
With the nearest neighbours (Å) after each atom.
Space group P-6m2 (No. 187)
Symmetry-distinct sites (fractional):
Ca  0.0000  0.0000  0.0000  6 Be 3.04, 6 Os 3.04
Be  0.3333  0.6667  0.5000  3 Os 2.26
Os  0.6667  0.3333  0.5000  3 Be 2.26

(5)
Y3CdO | PBE-GGA | relaxed

Calculated values
Total magnetization   1.55 μB per formula unit
Energy relative to the lowest polymorph listed for this composition   438 meV per atom
Volume   26.9 Å³ per atom

abc: 12.9029 12.9029 12.9029
angles: 90.00 90.00 90.00
With the nearest neighbours (Å) after each atom.
Space group Fd-3m (No. 227, origin choice 2)
Symmetry-distinct sites (fractional):
Y  0.0625  0.3750  0.3750  2 O 2.42
Cd  0.0000  0.0000  0.5000  6 Y 3.32
O  0.0000  0.0000  0.0000  6 Y 2.42

(6)
Li7SmAg4 | PBE-GGA | relaxed

Calculated values
Energy of formation from the pure elements   0.9 kJ per mole of atoms
Total magnetization   0.00 μB per formula unit
Volume   19.3 Å³ per atom

abc: 12.6817 4.9729 9.1033
angles: 90.00 126.21 90.00
With the nearest neighbours (Å) after each atom.
Space group C2/m (No. 12)
Symmetry-distinct sites (fractional):
Li  0.0000  0.0000  0.0000  2 Sm 2.49, 4 Ag 2.55-2.57
Li  0.0581  0.5000  0.4003  3 Ag 2.63-2.91, 2 Li 2.87-2.94
Li  0.1779  0.0000  0.6142  4 Ag 2.61-2.88
Li  0.2200  0.5000  0.8690  4 Ag 2.65-2.95, 1 Li 2.87
Sm  0.0000  0.5000  0.0000  2 Li 2.49
Ag  0.0701  0.0000  0.7871  3 Li 2.57-2.65, 1 Ag 2.78
Ag  0.1900  0.0000  0.3378  4 Li 2.55-2.72, 1 Ag 2.78

(7)
KMg2NiW | PBE-GGA | relaxed

Calculated values
Energy of formation from the pure elements   209.2 kJ per mole of atoms
Total magnetization   0.00 μB per formula unit
Volume   20.2 Å³ per atom

abc: 4.8563 4.8563 4.2924
angles: 90.00 90.00 90.00
With the nearest neighbours (Å) after each atom.
Space group P4/mmm (No. 123)
Symmetry-distinct sites (fractional):
K  0.0000  0.0000  0.0000  2 Ni 2.15
Mg  0.0000  0.5000  0.0000  2 K 2.43
Ni  0.0000  0.0000  0.5000  2 K 2.15
W  0.5000  0.5000  0.5000  8 Mg 3.24, 4 Ni 3.43

(8)
TlGaHg2 | PBE-GGA | relaxed

Calculated values
Energy of formation from the pure elements   7.5 kJ per mole of atoms
Total magnetization   0.00 μB per formula unit
Volume   26.6 Å³ per atom

abc: 3.3780 3.3780 32.3421
angles: 90.00 90.00 120.00
With the nearest neighbours (Å) after each atom.
Space group R-3m (No. 166, hexagonal axes)
Symmetry-distinct sites (fractional):
Tl  0.0000  0.0000  0.0000  2 Hg 3.05, 6 Tl 3.38
Ga  0.0000  0.0000  0.5000  6 Hg 3.04, 6 Ga 3.38
Hg  0.0000  0.0000  0.0944  3 Ga 3.04, 1 Tl 3.05, 6 Hg 3.38

(9)
SnHgN2 | PBE-GGA | relaxed

Calculated values
Total magnetization   0.66 μB per formula unit
Energy relative to the lowest polymorph listed for this composition   1450 meV per atom
Volume   14.0 Å³ per atom

abc: 6.0757 6.0757 6.0757
angles: 90.00 90.00 90.00
With the nearest neighbours (Å) after each atom.
Space group Fm-3m (No. 225)
Symmetry-distinct sites (fractional):
Sn  0.0000  0.0000  0.0000  8 N 2.63
Hg  0.0000  0.0000  0.5000  8 N 2.63
N  0.2500  0.2500  0.2500  4 Hg 2.63, 4 Sn 2.63

(10)
TeAsIr2 | PBE-GGA | relaxed

Calculated values
Total magnetization   0.00 μB per formula unit
Energy relative to the lowest polymorph listed for this composition   741 meV per atom
Volume   17.6 Å³ per atom

abc: 5.8363 9.3449 2.9899
angles: 90.00 120.32 90.00
With the nearest neighbours (Å) after each atom.
Space group C2/m (No. 12)
Symmetry-distinct sites (fractional):
Te  0.0000  0.0000  0.0000  4 Ir 2.76, 4 As 2.92-2.94, 2 Te 2.99
As  0.0000  0.5000  0.0000  4 Ir 2.76, 4 Te 2.92-2.94, 2 As 2.99
Ir  0.2500  0.2500  0.5000  2 As 2.76, 2 Te 2.76, 6 Ir 2.92-2.99

(11)
PrGa2Au8 | PBE-GGA | relaxed

Calculated values
Energy of formation from the pure elements   -11.7 kJ per mole of atoms
Total magnetization   0.00 μB per formula unit
Volume   24.0 Å³ per atom

abc: 5.5959 5.5959 8.4371
angles: 90.00 90.00 90.00
With the nearest neighbours (Å) after each atom.
Space group P4/mmm (No. 123)
Symmetry-distinct sites (fractional):
Pr  0.0000  0.0000  0.0000  8 Au 3.10
Ga  0.0000  0.5000  0.5000  8 Au 2.71
Au  0.2535  0.2535  0.2802  2 Ga 2.71, 4 Au 2.76-2.84

(12)
RbAs2BrCl | PBE-GGA | relaxed

Calculated values
Total magnetization   1.72 μB per formula unit
Energy relative to the lowest polymorph listed for this composition   0 meV per atom
Volume   37.0 Å³ per atom

abc: 4.9411 4.9411 7.5724
angles: 90.00 90.00 90.00
With the nearest neighbours (Å) after each atom.
Space group P4/mmm (No. 123)
Symmetry-distinct sites (fractional):
Rb  0.0000  0.0000  0.0000  4 Br 3.49
As  0.0000  0.5000  0.5000  2 Cl 2.47
Br  0.5000  0.5000  0.0000  4 Rb 3.49, 2 Cl 3.79
Cl  0.5000  0.5000  0.5000  4 As 2.47

(13)
Ca2SiHg2 | PBE-GGA | relaxed

Calculated values
Total magnetization   0.00 μB per formula unit
Energy relative to the lowest polymorph listed for this composition   0 meV per atom
Volume   25.8 Å³ per atom

abc: 7.4200 7.4200 4.6858
angles: 90.00 90.00 90.00
With the nearest neighbours (Å) after each atom.
Space group P4/mbm (No. 127)
Symmetry-distinct sites (fractional):
Ca  0.1754  0.3246  0.0000  6 Hg 3.06-3.31
Si  0.0000  0.0000  0.5000  4 Hg 2.88
Hg  0.1375  0.6375  0.5000  2 Si 2.88, 1 Hg 2.89, 2 Ca 3.06

(14)
PmEr3In2 | PBE-GGA | relaxed

Calculated values
Energy of formation from the pure elements   -29.5 kJ per mole of atoms
Total magnetization   0.00 μB per formula unit
Energy relative to the lowest polymorph listed for this composition   0 meV per atom
Volume   28.6 Å³ per atom

abc: 10.9328 3.6566 17.1407
angles: 90.00 90.00 90.00
With the nearest neighbours (Å) after each atom.
Space group Pnma (No. 62)
Symmetry-distinct sites (fractional):
Pm  0.0065  0.2500  0.0959  4 In 3.33, 4 Er 3.46-3.69, 2 Pm 3.66
Er  0.0008  0.7500  0.5869  4 In 3.23, 6 Er 3.37-3.56
Er  0.2392  0.2500  0.2725  6 In 3.29-3.34, 5 Er 3.56-3.66
Er  0.2499  0.2500  0.9547  2 In 3.28, 7 Er 3.37-3.66, 3 Pm 3.46-3.60
In  0.0150  0.2500  0.7423  6 Er 3.23-3.34, 1 In 3.31, 2 Pm 3.33
In  0.2409  0.2500  0.6137  6 Er 3.23-3.29, 1 In 3.31, 2 Pm 3.33

(15)
CeSmCdHg | PBE-GGA | relaxed

Calculated values
Energy of formation from the pure elements   -27.8 kJ per mole of atoms
Total magnetization   1.91 μB per formula unit
Volume   27.8 Å³ per atom

abc: 7.6379 7.6379 7.6379
angles: 90.00 90.00 90.00
With the nearest neighbours (Å) after each atom.
Space group F-43m (No. 216)
Symmetry-distinct sites (fractional):
Ce  0.0000  0.0000  0.0000  4 Cd 3.31, 4 Hg 3.31
Sm  0.0000  0.0000  0.5000  4 Hg 3.31, 4 Cd 3.31
Cd  0.2500  0.2500  0.7500  4 Ce 3.31, 4 Sm 3.31
Hg  0.2500  0.2500  0.2500  4 Ce 3.31, 4 Sm 3.31

(16)
NaTlInRh | PBE-GGA | relaxed

Calculated values
Energy of formation from the pure elements   -5.9 kJ per mole of atoms
Total magnetization   0.00 μB per formula unit
Volume   20.1 Å³ per atom

abc: 6.8550 6.8550 6.8550
angles: 90.00 90.00 90.00
With the nearest neighbours (Å) after each atom.
Space group F-43m (No. 216)
Symmetry-distinct sites (fractional):
Na  0.0000  0.0000  0.0000  4 Tl 2.97, 4 In 2.97
Tl  0.2500  0.2500  0.2500  4 Rh 2.97, 4 Na 2.97
In  0.2500  0.2500  0.7500  4 Na 2.97, 4 Rh 2.97
Rh  0.0000  0.0000  0.5000  4 In 2.97, 4 Tl 2.97

(17)
K4Tl5Pt | PBE-GGA | relaxed

Calculated values
Energy of formation from the pure elements   -10.9 kJ per mole of atoms
Total magnetization   0.00 μB per formula unit
Volume   38.1 Å³ per atom

abc: 10.6774 10.6774 6.6814
angles: 90.00 90.00 90.00
With the nearest neighbours (Å) after each atom.
Space group I4mm (No. 107)
Symmetry-distinct sites (fractional):
K  0.0000  0.2929  0.0000  1 Pt 3.40, 5 Tl 3.44-3.77
Tl  0.0000  0.0000  0.2140  1 Pt 2.76
Tl  0.1553  0.1553  0.5438  1 Pt 2.91, 1 Tl 3.22
Pt  0.0000  0.0000  0.8013  5 Tl 2.76-2.91

(18)
Ag3TeS4 | PBE-GGA | relaxed

Calculated values
Total magnetization   0.00 μB per formula unit
Energy relative to the lowest polymorph listed for this composition   3 meV per atom
Volume   25.1 Å³ per atom

abc: 8.5023 7.0401 6.7174
angles: 90.00 90.00 90.00
With the nearest neighbours (Å) after each atom.
Space group Pmn2_1 (No. 31)
Symmetry-distinct sites (fractional):
Ag  0.0000  0.1560  0.0000  4 S 2.50-2.57
Ag  0.2477  0.3247  0.4968  4 S 2.54-2.59
Te  0.0000  0.8124  0.5101  4 S 2.45-2.55
S  0.0000  0.1452  0.6176  1 Te 2.45, 3 Ag 2.57-2.59
S  0.0000  0.8182  0.1449  1 Te 2.45, 3 Ag 2.57
S  0.2386  0.3308  0.1189  3 Ag 2.50-2.56, 1 Te 2.55

(19)
Mg3As2Pd2 | PBE-GGA | relaxed

Calculated values
Energy of formation from the pure elements   -57.4 kJ per mole of atoms
Total magnetization   0.00 μB per formula unit
Volume   18.0 Å³ per atom

abc: 5.3778 7.2283 12.9483
angles: 90.00 90.00 90.00
With the nearest neighbours (Å) after each atom.
Space group Pbcm (No. 57)
Symmetry-distinct sites (fractional):
Mg  0.1304  0.2169  0.2500  4 Pd 2.81-2.96, 3 As 2.85-2.96
Mg  0.3689  0.5849  0.1056  4 As 2.76-2.86, 4 Pd 2.81-3.09
As  0.2440  0.2500  0.0000  4 Pd 2.54-2.78, 2 Mg 2.76
As  0.3802  0.6315  0.7500  2 Pd 2.55, 6 Mg 2.78-2.85
Pd  0.1026  0.5799  0.5928  3 As 2.54-2.78, 3 Mg 2.81-2.82

(20)
Pu2Cd2Rh | PBE-GGA | relaxed

Calculated values
Energy of formation from the pure elements   -21.4 kJ per mole of atoms
Total magnetization   10.93 μB per formula unit
Volume   22.9 Å³ per atom

abc: 3.2632 3.2632 21.4581
angles: 90.00 90.00 90.00
With the nearest neighbours (Å) after each atom.
Space group I4/mmm (No. 139)
Symmetry-distinct sites (fractional):
Pu  0.0000  0.0000  0.0850  4 Rh 2.94, 4 Pu 3.26
Cd  0.0000  0.0000  0.2996  8 Cd 3.14-3.26, 4 Pu 3.38
Rh  0.0000  0.0000  0.5000  8 Pu 2.94, 4 Rh 3.26